A plane-wave DFT calculation with PBE was carried out for an optimized crystal structure of Ca2ZnMo.

Geometry as CIF:
```
data_Ca2ZnMo
_chemical_formula_sum 'Ca2 Zn1 Mo1'
_cell_length_a 3.102
_cell_length_b 4.664
_cell_length_c 6.272
_cell_angle_alpha 90.00
_cell_angle_beta 90.12
_cell_angle_gamma 90.00
_symmetry_space_group_name_H-M 'P 1'
_symmetry_Int_Tables_number 1
loop_
_symmetry_equiv_pos_as_xyz
'x,y,z'
loop_
_atom_site_label
_atom_site_fract_x
_atom_site_fract_y
_atom_site_fract_z
_atom_site_occupancy
Ca1 0.001 0.000 0.244 1
Ca2 0.999 0.000 0.756 1
Zn1 0.500 0.500 0.500 1
Mo1 0.500 0.500 0.000 1
```

## Properties
final energy: -3.471 eV/atom
crystal system: monoclinic
DFT formation energy: 0.556 eV/atom